Entry 1:
Here is a relaxed structure of KTb2Cl7 from Alexandria. Energies are from PBE.

Polymorph energy (0 for the lowest one): 0 meV/atom
Space group: P2_1/c

Cell lengths 12.6446, 6.9961, 13.5841 Å; angles 92.61, 90.00, 90.00 degrees
With the nearest neighbours (Å) after each atom.
Positions (direct):
Tb: 0.0362 0.2166 0.2597  7 Cl 2.71-2.77
Cl: 0.4331 0.0308 0.1248  2 Tb 2.72
Cl: 0.2935 0.0050 0.8182  2 Tb 2.75
Tb: 0.1597 0.2844 0.7560  7 Cl 2.71-2.75
Cl: 0.4753 0.0764 0.3679  2 Tb 2.73-2.75
Cl: 0.4029 0.5515 0.1295  2 Tb 2.71-2.74
Cl: 0.0608 0.5602 0.8723  2 Tb 2.72-2.74
K: 0.7180 0.1947 0.4773  7 Cl 3.28-3.60
Cl: 0.5247 0.9236 0.6321  2 Tb 2.73-2.75
Cl: 0.3133 0.2473 0.6128  2 Tb 2.75-2.77
Cl: 0.0971 0.5515 0.6295  2 Tb 2.71-2.74
K: 0.2180 0.8053 0.0227  7 Cl 3.28-3.60
Cl: 0.9392 0.4398 0.1277  2 Tb 2.72-2.74
Cl: 0.3266 0.4828 0.8349  2 Tb 2.71-2.72
Tb: 0.4638 0.2166 0.7597  7 Cl 2.71-2.77
Cl: 0.7065 0.9950 0.1818  2 Tb 2.75
Cl: 0.7935 0.9950 0.6818  2 Tb 2.75
Cl: 0.6734 0.5172 0.1651  2 Tb 2.71-2.72
Cl: 0.5669 0.9692 0.8752  2 Tb 2.72
Cl: 0.5971 0.4485 0.8705  2 Tb 2.71-2.74
Cl: 0.0669 0.0308 0.6248  2 Tb 2.72
Cl: 0.9753 0.9236 0.1321  2 Tb 2.73-2.75
Cl: 0.1734 0.4828 0.3349  2 Tb 2.71-2.72
Cl: 0.9029 0.4485 0.3705  2 Tb 2.71-2.74
Cl: 0.8133 0.7527 0.8872  2 Tb 2.75-2.77
Cl: 0.4392 0.5602 0.3723  2 Tb 2.72-2.74
Cl: 0.2065 0.0050 0.3182  2 Tb 2.75
Cl: 0.9331 0.9692 0.3752  2 Tb 2.72
Tb: 0.9638 0.7834 0.7403  7 Cl 2.71-2.77
Cl: 0.1867 0.2473 0.1128  2 Tb 2.75-2.77
Tb: 0.3403 0.2844 0.2560  7 Cl 2.71-2.75
Tb: 0.5362 0.7834 0.2403  7 Cl 2.71-2.77
K: 0.7820 0.1947 0.9773  7 Cl 3.28-3.60
Cl: 0.6867 0.7527 0.3872  2 Tb 2.75-2.77
Cl: 0.8266 0.5172 0.6651  2 Tb 2.71-2.72
K: 0.2820 0.8053 0.5227  7 Cl 3.28-3.60
Cl: 0.0247 0.0764 0.8679  2 Tb 2.73-2.75
Tb: 0.6597 0.7156 0.7440  7 Cl 2.71-2.75
Tb: 0.8403 0.7156 0.2440  7 Cl 2.71-2.75
Cl: 0.5608 0.4398 0.6277  2 Tb 2.72-2.74


Entry 2:
Here is a relaxed structure of K2TbCl5 from Alexandria. Energies are from PBE.

Space group: Pnma

Cell lengths 8.0930, 8.6339, 12.9621 Å; angles 90.00, 90.00, 90.00 degrees
With the nearest neighbours (Å) after each atom.
Positions (direct):
K: 0.9479 0.0033 0.8280  8 Cl 3.19-3.44
Tb: 0.5732 0.7500 0.0047  7 Cl 2.70-2.79
K: 0.9479 0.4967 0.8280  8 Cl 3.19-3.44
Cl: 0.3393 0.5428 0.9266  2 Tb 2.77-2.79
K: 0.0521 0.5033 0.1720  8 Cl 3.19-3.44
Cl: 0.8432 0.7500 0.3029  1 Tb 2.70
Cl: 0.1607 0.9572 0.4266  2 Tb 2.77-2.79
Tb: 0.9268 0.7500 0.5047  7 Cl 2.70-2.79
Cl: 0.6607 0.0428 0.0734  2 Tb 2.77-2.79
Cl: 0.6184 0.2500 0.8250  1 Tb 2.70
Tb: 0.4268 0.2500 0.9953  7 Cl 2.70-2.79
Cl: 0.1184 0.7500 0.6750  1 Tb 2.70
Cl: 0.1568 0.2500 0.6971  1 Tb 2.70
K: 0.4479 0.5033 0.6720  8 Cl 3.19-3.44
Tb: 0.0732 0.2500 0.4953  7 Cl 2.70-2.79
Cl: 0.8393 0.0428 0.5734  2 Tb 2.77-2.79
Cl: 0.9100 0.7500 0.0118  1 Tb 2.73
Cl: 0.3432 0.2500 0.1971  1 Tb 2.70
Cl: 0.3816 0.7500 0.1750  1 Tb 2.70
Cl: 0.3393 0.9572 0.9266  2 Tb 2.77-2.79
K: 0.0521 0.9967 0.1720  8 Cl 3.19-3.44
Cl: 0.8393 0.4572 0.5734  2 Tb 2.77-2.79
K: 0.5521 0.0033 0.3280  8 Cl 3.19-3.44
Cl: 0.6568 0.7500 0.8029  1 Tb 2.70
Cl: 0.4100 0.2500 0.4882  1 Tb 2.73
Cl: 0.8816 0.2500 0.3250  1 Tb 2.70
K: 0.5521 0.4967 0.3280  8 Cl 3.19-3.44
K: 0.4479 0.9967 0.6720  8 Cl 3.19-3.44
Cl: 0.5900 0.7500 0.5118  1 Tb 2.73
Cl: 0.1607 0.5428 0.4266  2 Tb 2.77-2.79
Cl: 0.6607 0.4572 0.0734  2 Tb 2.77-2.79
Cl: 0.0900 0.2500 0.9882  1 Tb 2.73


It is found that the total magnetization values, taken in the order of the records, are 0.00, 0.00 μB per formula unit.
It is found that the formation energy from raw total energies values, taken in the order of the records, are -51.91, -49.97 kcal/mol of atoms.